No. 1
Mg3AsS: relaxed, PBE.

For the formation energy from raw total energies, the calculation gives -0.297 eV per atom. The offset from the most stable computed form comes out at 0.0 meV per atom.

Geometry as POSCAR:
```
Mg3AsS
1.0
-0.799 -1.307 4.571
1.156 -4.549 -1.099
4.611 0.914 1.067
Mg As S
3 1 1
Direct
0.000 0.500 0.000 Mg
0.000 0.000 0.500 Mg
0.500 0.000 0.000 Mg
0.500 0.500 0.500 As
0.000 0.000 0.000 S
```

=====

No. 2
Mg3AsS: relaxed, PBE.

For the formation energy from raw total energies, the calculation gives -0.161 eV per atom. The offset from the most stable computed form comes out at 136.3 meV per atom.

Geometry as POSCAR:
```
Mg3AsS
1.0
-4.370 1.327 -2.012
-0.511 -4.581 -1.912
-2.355 -1.469 4.148
Mg As S
3 1 1
Direct
0.000 0.500 0.000 Mg
0.000 0.000 0.500 Mg
0.500 0.000 0.000 Mg
0.000 0.000 0.000 As
0.500 0.500 0.500 S
```

=====

No. 3
MgAs2SeS: relaxed, PBE.

For the formation energy from raw total energies, the calculation gives 0.434 eV per atom. The offset from the most stable computed form comes out at 0.0 meV per atom.

Geometry as POSCAR:
```
MgAs2SeS
1.0
4.824 0.000 0.000
0.000 4.824 0.000
0.000 0.000 4.910
Mg As S Se
1 2 1 1
Direct
0.500 0.500 0.500 Mg
0.000 0.500 0.000 As
0.500 0.000 0.000 As
0.000 0.000 0.000 S
0.000 0.000 0.500 Se
```

=====

No. 4
MgAs2SeS: relaxed, PBE.

For the formation energy from raw total energies, the calculation gives 0.821 eV per atom. The offset from the most stable computed form comes out at 387.2 meV per atom.

Geometry as POSCAR:
```
MgAs2SeS
1.0
5.051 0.000 0.000
0.000 5.051 0.000
0.000 0.000 4.786
Mg As S Se
1 2 1 1
Direct
0.000 0.000 0.000 Mg
0.000 0.500 0.000 As
0.500 0.000 0.000 As
0.500 0.500 0.500 S
0.000 0.000 0.500 Se
```